PBE BaPrSn, relaxed; E_tot = -3.90 eV per atom; symmetry = Cm, No. 8
1.0
4.370 -2.524 0.000
4.370 2.524 0.000
-2.927 0.000 12.927
Ba Pr Sn
2 2 2
direct
0.000 0.000 0.000
0.227 0.227 0.677
0.131 0.131 0.392
0.414 0.414 0.240
0.501 0.501 0.502
0.721 0.721 0.162

***

PBE Ba2Pr2Sn15, relaxed; E_tot = -4.18 eV per atom; symmetry = R-3m, No. 166
1.0
5.261 3.037 6.109
-5.261 3.037 6.109
0.000 -6.074 6.109
Ba Pr Sn
2 2 15
direct
0.154 0.154 0.154
0.846 0.846 0.846
0.391 0.391 0.391
0.609 0.609 0.609
0.000 0.500 0.500
0.128 0.128 0.636
0.128 0.636 0.128
0.212 0.500 0.788
0.212 0.788 0.500
0.364 0.872 0.872
0.500 0.000 0.500
0.500 0.212 0.788
0.500 0.500 0.000
0.500 0.788 0.212
0.636 0.128 0.128
0.788 0.212 0.500
0.788 0.500 0.212
0.872 0.364 0.872
0.872 0.872 0.364

***

PBE BaSrPr, relaxed; E_tot = -2.72 eV per atom; symmetry = P4/nmm, No. 129
1.0
4.080 0.000 0.000
0.000 4.080 0.000
0.000 0.000 17.905
Ba Sr Pr
2 2 2
direct
0.250 0.250 0.096
0.750 0.750 0.904
0.250 0.250 0.716
0.750 0.750 0.284
0.250 0.250 0.438
0.750 0.750 0.562

***

So what do the calculations give for E_form? Going down the list: -0.33; -0.32; 0.07 eV per atom.